# 1
# CuPbWO5

An optimized crystal structure of CuPbWO5 (PBE+U, Alexandria).

Lattice parameters (Å, degrees): 6.5244 9.6642 7.5676 90.00 110.59 90.00
Space group C2/c (No. 15)
Symmetry-distinct sites (fractional):
Cu 0.0000 0.1786 0.2500
Pb 0.0000 0.1689 0.7500
W 0.0000 0.5000 0.0000
O 0.0000 0.4463 0.7500
O 0.0639 0.3079 0.0801
O 0.1881 0.0380 0.4194

Summary:
energy	-204.01	eV for the cell shown
density of states at the Fermi level	2.11	states/eV/f.u.

=====

# 2
# Ca2MnAlO6

An optimized crystal structure of Ca2MnAlO6 (PBE+U, Alexandria).

Lattice parameters (Å, degrees): 5.3257 5.3361 9.2226 90.00 125.25 90.00
Space group P2_1/c (No. 14)
Symmetry-distinct sites (fractional):
Ca 0.2459 0.0224 0.2498
Mn 0.5000 0.0000 0.0000
Al 0.0000 0.0000 0.5000
O 0.1940 0.2233 0.9731
O 0.2508 0.7215 0.9734
O 0.3011 0.0079 0.7491

Summary:
energy	-136.82	eV for the cell shown
density of states at the Fermi level	4.99	states/eV/f.u.